## LiRe2Sb (PBE-GGA)

Data for an optimized crystal structure of LiRe2Sb.

The energy relative to the elements, uncorrected is 0.551 eV per atom.

The structure belongs to space group C2/m (No. 12); the cell edges are 5.531, 9.675 and 2.839 Å and the angles 90.00°, 120.52° and 90.00°. The distinct sites, in fractional coordinates, are Li at (0.000, 0.000, 0.000), Re at (0.250, 0.250, 0.500) and Sb at (0.000, 0.500, 0.000).

## CsDyCl4 (PBE-GGA)

Data for an optimized crystal structure of CsDyCl4.

For the excess energy over the best structure of this formula in the dataset, the calculation gives 43 meV per atom. The energy relative to the elements, uncorrected is -2.161 eV per atom.

The structure belongs to space group C2/m (No. 12); the cell edges are 15.552, 7.611 and 7.156 Å and the angles 90.00°, 94.84° and 90.00°. The distinct sites, in fractional coordinates, are Cs at (0.205, 0.000, 0.255), Dy at (0.033, 0.500, 0.279), Cl at (0.000, 0.266, 0.000), Cl at (0.098, 0.290, 0.573) and Cl at (0.190, 0.500, 0.182).

## NaAcSb3 (PBE-GGA)

Data for an optimized crystal structure of NaAcSb3.

The energy relative to the elements, uncorrected is -0.640 eV per atom.

The structure belongs to space group P2/c (No. 13); the cell edges are 6.642, 14.970 and 6.343 Å and the angles 90.00°, 90.63° and 90.00°. The distinct sites, in fractional coordinates, are Na at (0.000, 0.089, 0.250), Na at (0.500, 0.100, 0.250), Ac at (0.254, 0.321, 0.509), Sb at (0.000, 0.497, 0.250), Sb at (0.242, 0.254, 0.005), Sb at (0.278, 0.098, 0.740) and Sb at (0.500, 0.497, 0.250).

## Fe2HgH (PBE-GGA)

Data for an optimized crystal structure of Fe2HgH.

For the excess energy over the best structure of this formula in the dataset, the calculation gives 0 meV per atom.

The structure belongs to space group Fd-3m (No. 227, origin choice 2); the cell edges are 7.392, 7.392 and 7.392 Å and the angles 90.00°, 90.00° and 90.00°. The distinct sites, in fractional coordinates, are Fe at (0.000, 0.000, 0.000), Hg at (0.125, 0.125, 0.625) and H at (0.125, 0.125, 0.125).

## USn2As2Pd7 (PBE-GGA)

Data for an optimized crystal structure of USn2As2Pd7.

Its formation energy is -7.9 kcal/mol of atoms.

The structure belongs to space group C2/m (No. 12); the cell edges are 5.691, 5.721 and 14.780 Å and the angles 90.00°, 94.95° and 90.00°. The distinct sites, in fractional coordinates, are U at (0.000, 0.000, 0.000), Sn at (0.133, 0.000, 0.411), As at (0.057, 0.500, 0.248), Pd at (0.000, 0.500, 0.000), Pd at (0.118, 0.500, 0.416) and Pd at (0.216, 0.250, 0.855).

## TiCoP2 (PBE-GGA)

Data for an optimized crystal structure of TiCoP2.

For the excess energy over the best structure of this formula in the dataset, the calculation gives 93 meV per atom. Its formation energy is -6.1 kcal/mol of atoms.

The structure belongs to space group I-42d (No. 122); the cell edges are 5.271, 5.271 and 10.455 Å and the angles 90.00°, 90.00° and 90.00°. The distinct sites, in fractional coordinates, are Ti at (0.000, 0.000, 0.000), Co at (0.000, 0.000, 0.500) and P at (0.206, 0.250, 0.625).

## Cs3KBe (PBE-GGA)

Data for an optimized crystal structure of Cs3KBe.

For the excess energy over the best structure of this formula in the dataset, the calculation gives 0 meV per atom. Its formation energy is 11.4 kcal/mol of atoms.

The structure belongs to space group Pm-3m (No. 221); the cell edges are 7.396, 7.396 and 7.396 Å and the angles 90.00°, 90.00° and 90.00°. The distinct sites, in fractional coordinates, are Cs at (0.000, 0.000, 0.500), K at (0.500, 0.500, 0.500) and Be at (0.000, 0.000, 0.000).

## AcDy2Tl (PBE-GGA)

Data for an optimized crystal structure of AcDy2Tl.

For the excess energy over the best structure of this formula in the dataset, the calculation gives 0 meV per atom. Its formation energy is -3.5 kcal/mol of atoms.

The structure belongs to space group P4/mmm (No. 123); the cell edges are 3.741, 3.741 and 9.230 Å and the angles 90.00°, 90.00° and 90.00°. The distinct sites, in fractional coordinates, are Ac at (0.000, 0.000, 0.000), Dy at (0.500, 0.500, 0.285) and Tl at (0.000, 0.000, 0.500).

## Rb4Sm3InTe8 (PBE-GGA)

Data for an optimized crystal structure of Rb4Sm3InTe8.

The energy relative to the elements, uncorrected is -1.178 eV per atom.

The structure belongs to space group R-3m (No. 166, hexagonal axes); the cell edges are 9.1604, 9.1604 and 25.7239 Å and the angles 90.00°, 90.00° and 120.00°. The distinct sites, in fractional coordinates, are Rb at (0.0000, 0.0000, 0.0000), Rb at (0.0000, 0.5000, 0.0000), Sm at (0.0000, 0.5000, 0.5000), In at (0.0000, 0.0000, 0.5000), Te at (0.0000, 0.0000, 0.2346) and Te at (0.0075, 0.5038, 0.2331).

## CaPm2DyY4 (PBE-GGA)

Data for an optimized crystal structure of CaPm2DyY4.

Its formation energy is 9.8 kcal/mol of atoms.

The structure belongs to space group C2/c (No. 15); the cell edges are 13.851, 13.445 and 6.877 Å and the angles 90.00°, 119.75° and 90.00°. The distinct sites, in fractional coordinates, are Ca at (0.000, 0.000, 0.000), Pm at (0.000, 0.500, 0.000), Pm at (0.250, 0.250, 0.000), Dy at (0.250, 0.250, 0.500), Y at (0.000, 0.251, 0.001) and Y at (0.237, 0.498, 0.486).

## Ce3NdSb2 (PBE-GGA)

Data for an optimized crystal structure of Ce3NdSb2.

The energy relative to the elements, uncorrected is -0.662 eV per atom.

The structure belongs to space group C2/m (No. 12); the cell edges are 18.578, 4.191 and 9.475 Å and the angles 90.00°, 111.58° and 90.00°. The distinct sites, in fractional coordinates, are Ce at (0.070, 0.000, 0.116), Ce at (0.133, 0.500, 0.990), Ce at (0.204, 0.500, 0.424), Nd at (0.101, 0.000, 0.621), Sb at (0.022, 0.500, 0.326) and Sb at (0.241, 0.500, 0.784).

## Rb3Cd2In5 (PBE-GGA)

Data for an optimized crystal structure of Rb3Cd2In5.

Its formation energy is -1.3 kcal/mol of atoms.

The structure belongs to space group Ibam (No. 72); the cell edges are 13.101, 14.979 and 7.285 Å and the angles 90.00°, 90.00° and 90.00°. The distinct sites, in fractional coordinates, are Rb at (0.000, 0.000, 0.250), Rb at (0.236, 0.384, 0.000), Cd at (0.153, 0.162, 0.000), In at (0.000, 0.254, 0.250), In at (0.000, 0.500, 0.250) and In at (0.128, 0.374, 0.500).

## Cr2CuBr (PBE-GGA)

Data for an optimized crystal structure of Cr2CuBr.

For the excess energy over the best structure of this formula in the dataset, the calculation gives 353 meV per atom. The energy relative to the elements, uncorrected is 0.704 eV per atom.

The structure belongs to space group P4/mmm (No. 123); the cell edges are 3.377, 3.377 and 5.852 Å and the angles 90.00°, 90.00° and 90.00°. The distinct sites, in fractional coordinates, are Cr at (0.000, 0.000, 0.159), Cu at (0.500, 0.500, 0.000) and Br at (0.500, 0.500, 0.500).

## HfMgTaNb (PBE-GGA)

Data for an optimized crystal structure of HfMgTaNb.

Its formation energy is 4.7 kcal/mol of atoms.

The structure belongs to space group F-43m (No. 216); the cell edges are 6.769, 6.769 and 6.769 Å and the angles 90.00°, 90.00° and 90.00°. The distinct sites, in fractional coordinates, are Hf at (0.000, 0.000, 0.000), Mg at (0.250, 0.250, 0.250), Ta at (0.250, 0.250, 0.750) and Nb at (0.000, 0.000, 0.500).

## SmScRu (PBE-GGA)

Data for an optimized crystal structure of SmScRu.

For the excess energy over the best structure of this formula in the dataset, the calculation gives 87 meV per atom. Its formation energy is -4.9 kcal/mol of atoms.

The structure belongs to space group Cmcm (No. 63); the cell edges are 3.982, 16.216 and 4.350 Å and the angles 90.00°, 90.00° and 90.00°. The distinct sites, in fractional coordinates, are Sm at (0.000, 0.084, 0.250), Sc at (0.000, 0.249, 0.750) and Ru at (0.000, 0.361, 0.250).

## LaMgTi2Tc (PBE-GGA)

Data for an optimized crystal structure of LaMgTi2Tc.

Its formation energy is 37.0 kcal/mol of atoms.

The structure belongs to space group P4/mmm (No. 123); the cell edges are 4.754, 4.754 and 5.558 Å and the angles 90.00°, 90.00° and 90.00°. The distinct sites, in fractional coordinates, are La at (0.000, 0.000, 0.000), Mg at (0.000, 0.000, 0.500), Ti at (0.000, 0.500, 0.500) and Tc at (0.500, 0.500, 0.000).

no.,N(E_F) (states/eV per atom)
1,0.623
2,0.000
3,0.538
4,0.355
5,1.003
6,0.815
7,1.272
8,1.058
9,0.131
10,2.145
11,2.051
12,0.435
13,0.970
14,1.159
15,0.733
16,1.621